(1)
## VNiOs3 (PBE-GGA)

Data for a relaxed structure of VNiOs3.

a b c (Å): 4.448 4.448 4.448
angles (deg): 90.00 90.00 90.00
Element x y z (fractional)
Ni (0.500, 0.500, 0.500)
Os (0.000, 0.500, 0.000)
Os (0.000, 0.000, 0.500)
Os (0.500, 0.000, 0.000)
V (0.000, 0.000, 0.000)

E above lowest polymorph (eV per atom): 1.881
Magnetization (μB per atom): 0.417
Electronic total energy (eV for the cell shown): -39.15

(2)
## YSiCl2 (PBE-GGA)

Data for a relaxed structure of YSiCl2.

a b c (Å): 3.448 5.441 4.508
angles (deg): 90.00 90.00 90.00
Element x y z (fractional)
Cl (0.000, 0.000, 0.000)
Cl (0.500, 0.500, 0.000)
Si (0.500, 0.000, 0.500)
Y (0.000, 0.500, 0.500)

Formation energy without anion corrections (eV/atom): -0.80
E above lowest polymorph (eV per atom): 0.245
Magnetization (μB per atom): 0.000
Electronic total energy (eV for the cell shown): -18.79

(3)
## KTc3O6 (PBE-GGA)

Data for a relaxed structure of KTc3O6.

a b c (Å): 5.432 5.433 5.701
angles (deg): 90.00 118.45 120.00
Element x y z (fractional)
K (0.779, 0.889, 0.668)
Tc (0.690, 0.345, 0.035)
Tc (0.318, 0.659, 0.976)
Tc (0.294, 0.147, 0.441)
O (0.399, 0.463, 0.749)
O (0.160, 0.772, 0.210)
O (0.823, 0.051, 0.210)
O (0.286, 0.936, 0.749)
O (0.814, 0.350, 0.749)
O (0.439, 0.388, 0.210)

Formation energy without anion corrections (eV/atom): -1.21
Magnetization (μB per atom): 0.205
Electronic total energy (eV for the cell shown): -74.08